[1]
Below is TlCd10Ga2 after structural relaxation, with properties calculated at the PBE-GGA level.

Summary:
DOS at the Fermi energy	4.73	states/eV per cell
magnetization	0.0	Bohr magnetons per cell
space group	Fmmm
energy relative to the elements	0.049	eV per atom
mass density	8.0	Mg/m³

```
TlCd10Ga2
1.0
0.000 7.174 7.728
2.765 0.000 7.728
2.765 7.174 0.000
Tl Cd Ga
1 10 2
direct
0.000 0.000 0.000
0.000 0.000 0.500
0.002 0.354 0.646
0.289 0.496 0.504
0.354 0.002 0.998
0.496 0.289 0.711
0.500 0.500 0.000
0.504 0.711 0.289
0.646 0.998 0.002
0.711 0.504 0.496
0.998 0.646 0.354
0.000 0.500 0.000
0.500 0.000 0.500
```

[2]
Below is TlCd11Ga after structural relaxation, with properties calculated at the PBE-GGA level.

Summary:
DOS at the Fermi energy	3.60	states/eV per cell
magnetization	0.0	Bohr magnetons per cell
space group	C2/m
energy relative to the elements	0.037	eV per atom
mass density	8.1	Mg/m³

```
TlCd11Ga
1.0
2.977 -7.168 0.000
2.977 7.168 0.000
-2.915 0.000 7.230
Tl Cd Ga
1 11 1
direct
0.000 0.000 0.000
0.000 0.000 0.500
0.000 0.500 0.000
0.006 0.356 0.355
0.293 0.506 0.784
0.356 0.006 0.355
0.494 0.707 0.216
0.500 0.000 0.000
0.506 0.293 0.784
0.644 0.994 0.645
0.707 0.494 0.216
0.994 0.644 0.645
0.500 0.500 0.500
```

[3]
Below is TlCdGa after structural relaxation, with properties calculated at the PBE-GGA level.

Summary:
DOS at the Fermi energy	2.37	states/eV per cell
magnetization	0.0	Bohr magnetons per cell
space group	P1
energy relative to the elements	0.066	eV per atom
mass density	8.6	Mg/m³

```
TlCdGa
1.0
3.314 0.000 0.000
-0.407 5.110 0.000
-0.580 -1.940 8.822
Tl Cd Ga
2 2 2
direct
0.000 0.000 0.000
0.477 0.409 0.762
0.530 0.549 0.133
0.948 0.860 0.629
0.038 0.424 0.386
0.446 0.985 0.377
```

[4]
Below is TlCdGa3 after structural relaxation, with properties calculated at the PBE-GGA level.

Summary:
DOS at the Fermi energy	4.28	states/eV per cell
magnetization	0.0	Bohr magnetons per cell
space group	Pm-3m
energy relative to the elements	0.389	eV per atom
mass density	6.1	Mg/m³

```
TlCdGa3
1.0
5.236 0.000 0.000
0.000 5.236 0.000
0.000 0.000 5.236
Tl Cd Ga
1 1 3
direct
0.000 0.000 0.000
0.500 0.500 0.500
0.000 0.500 0.500
0.500 0.000 0.500
0.500 0.500 0.000
```